VASP calculation (PBE-GGA) on a relaxed structure of YTm2Os.

E_form   -0.7 eV/f.u.

a = 3.3690 Å, b = 3.3690 Å, c = 9.1313 Å
α = 90.00°, β = 90.00°, γ = 90.00°
Space group P4/mmm (No. 123)
Unique sites:
Y (0.0000, 0.0000, 0.0000)
Tm (0.5000, 0.5000, 0.3214)
Os (0.0000, 0.0000, 0.5000)

***

VASP calculation (PBE-GGA) on a relaxed structure of La2CdGe3Ir4.

E_form   -6.6 eV/f.u.

a = 4.2564 Å, b = 4.2564 Å, c = 10.8679 Å
α = 90.00°, β = 90.00°, γ = 90.00°
Space group P-4m2 (No. 115)
Unique sites:
La (0.0000, 0.5000, 0.2463)
Cd (0.0000, 0.0000, 0.5000)
Ge (0.0000, 0.5000, 0.8770)
Ge (0.5000, 0.5000, 0.5000)
Ir (0.0000, 0.0000, 0.0000)
Ir (0.0000, 0.5000, 0.6510)
Ir (0.5000, 0.5000, 0.0000)

***

VASP calculation (PBE-GGA) on a relaxed structure of Ba2AcS4.

Formation energy without anion corrections   -41.33 kcal/mol of atoms

a = 4.4034 Å, b = 15.2718 Å, c = 13.4887 Å
α = 90.00°, β = 90.00°, γ = 90.00°
Space group Cmcm (No. 63)
Unique sites:
Ba (0.0000, 0.1297, 0.0685)
Ac (0.0000, 0.3958, 0.2500)
S (0.0000, 0.0183, 0.2500)
S (0.0000, 0.2198, 0.6446)
S (0.0000, 0.5000, 0.0000)

***

VASP calculation (PBE-GGA) on a relaxed structure of MnGa6Cl12.

Formation energy without anion corrections   -18.69 kcal/mol of atoms

a = 7.2841 Å, b = 7.2841 Å, c = 37.0069 Å
α = 90.00°, β = 90.00°, γ = 120.00°
Space group R-3 (No. 148, hexagonal axes)
Unique sites:
Mn (0.0000, 0.0000, 0.0000)
Ga (0.0583, 0.5288, 0.4319)
Cl (0.0035, 0.5026, 0.6297)
Cl (0.0071, 0.5039, 0.7861)

***

VASP calculation (PBE-GGA) on a relaxed structure of Li2PbF.

Formation energy without anion corrections   -13.91 kcal/mol of atoms

a = 6.7227 Å, b = 6.7227 Å, c = 6.7227 Å
α = 90.00°, β = 90.00°, γ = 90.00°
Space group Fm-3m (No. 225)
Unique sites:
Li (0.2500, 0.2500, 0.2500)
Pb (0.0000, 0.0000, 0.0000)
F (0.0000, 0.0000, 0.5000)

***

VASP calculation (PBE-GGA) on a relaxed structure of MnPSeSN.

Formation energy without anion corrections   -0.65 kcal/mol of atoms

a = 13.8838 Å, b = 2.8272 Å, c = 5.4014 Å
α = 90.00°, β = 110.27°, γ = 90.00°
Space group Cm (No. 8)
Unique sites:
Mn (0.0000, 0.0000, 0.0000)
P (0.3784, 0.0000, 0.3048)
Se (0.1293, 0.5000, 0.9777)
S (0.3846, 0.0000, 0.7433)
N (0.4490, 0.5000, 0.2900)

***

VASP calculation (PBE-GGA) on a relaxed structure of LaNd5Er2Tm.

E_form   1.4 eV/f.u.

a = 5.7186 Å, b = 20.2894 Å, c = 10.6731 Å
α = 90.00°, β = 90.00°, γ = 90.00°
Space group Cmc2_1 (No. 36)
Unique sites:
La (0.0000, 0.0850, 0.0000)
Nd (0.0000, 0.0190, 0.2881)
Nd (0.0000, 0.1168, 0.5696)
Nd (0.0000, 0.2034, 0.2542)
Nd (0.0000, 0.2201, 0.8627)
Nd (0.0000, 0.4828, 0.5688)
Er (0.0000, 0.3850, 0.8638)
Er (0.0000, 0.3861, 0.2816)
Tm (0.0000, 0.3015, 0.5588)

***

VASP calculation (PBE-GGA) on a relaxed structure of Ba5Li3.

E_form   0.3 eV/f.u.

a = 4.4338 Å, b = 4.4338 Å, c = 19.5244 Å
α = 90.00°, β = 90.00°, γ = 90.00°
Space group P4/mmm (No. 123)
Unique sites:
Ba (0.0000, 0.0000, 0.0000)
Ba (0.0000, 0.0000, 0.2197)
Ba (0.5000, 0.5000, 0.3915)
Li (0.0000, 0.0000, 0.5000)
Li (0.5000, 0.5000, 0.1114)

***

no.,calculated volume (Å³/cell)
1,103.6
2,196.9
3,907.1
4,1700.4
5,303.8
6,198.9
7,1238.4
8,383.8